The following is a DFT calculation (PBE) of crystalline ZnIn3C at its relaxed geometry.

a = 5.1769 Å, b = 5.1769 Å, c = 5.1769 Å
α = 90.00°, β = 90.00°, γ = 90.00°
Closest atoms and distances in Å follow each position.
Space group Pm-3m (No. 221)
Asymmetric unit:
Zn: 0.0000 0.0000 0.0000  6 In 2.59
In: 0.0000 0.0000 0.5000  2 Zn 2.59
C: 0.5000 0.5000 0.5000  12 In 3.66

Output
- magnetization (μB per formula unit) = 1.9
- excess energy over the best structure of this formula in the dataset (eV per formula unit) = 3.15
- volume (A^3/atom) = 27.7
- DOS at the Fermi energy (states/eV/cell) = 2.25
- ΔH_f (0 K) (eV/atom) = 1.469